Entry 1:
## ScSb (PBE)

Data for crystalline ScSb at its relaxed geometry.

Cell lengths 5.419, 5.419, 3.263 Å; angles 90.00, 90.00, 90.00 degrees
Fractional coordinates of all 4 atoms:
Sc 0.250 0.750 0.000
Sc 0.750 0.250 0.000
Sb 0.250 0.250 0.395
Sb 0.750 0.750 0.605

Output
- Crystal system: tetragonal
- Total magnetic moment: 0.000 μB/f.u.
- ρ: 5.8 g/cm³
- Formation energy without anion corrections: -0.69 eV per atom
- Energy: -23.663 eV for the cell shown

=====

Entry 2:
## Sc5Sb3 (PBE)

Data for crystalline Sc5Sb3 at its relaxed geometry.

Cell lengths 8.464, 8.464, 5.922 Å; angles 90.00, 90.00, 120.00 degrees
Fractional coordinates of all 16 atoms:
Sc 0.000 0.245 0.250
Sc 0.000 0.755 0.750
Sc 0.245 0.000 0.250
Sc 0.245 0.245 0.750
Sc 0.333 0.667 0.000
Sc 0.333 0.667 0.500
Sc 0.667 0.333 0.000
Sc 0.667 0.333 0.500
Sc 0.755 0.000 0.750
Sc 0.755 0.755 0.250
Sb 0.000 0.388 0.750
Sb 0.000 0.612 0.250
Sb 0.388 0.000 0.750
Sb 0.388 0.388 0.250
Sb 0.612 0.000 0.250
Sb 0.612 0.612 0.750

Output
- Crystal system: hexagonal
- Total magnetic moment: 0.774 μB/f.u.
- ρ: 5.3 g/cm³
- Formation energy without anion corrections: -0.86 eV per atom
- Energy: -101.767 eV for the cell shown
- Energy above the most stable polymorph in this dataset: 0.003 eV per atom

=====

Entry 3:
## Sc5Sb (PBE)

Data for crystalline Sc5Sb at its relaxed geometry.

Cell lengths 4.988, 4.988, 6.548 Å; angles 90.00, 90.00, 120.00 degrees
Fractional coordinates of all 6 atoms:
Sc 0.000 0.000 0.000
Sc 0.333 0.667 0.130
Sc 0.333 0.667 0.654
Sc 0.667 0.333 0.346
Sc 0.667 0.333 0.870
Sb 0.000 0.000 0.500

Output
- Crystal system: trigonal
- Total magnetic moment: 0.000 μB/f.u.
- ρ: 4.1 g/cm³
- Formation energy without anion corrections: -0.23 eV per atom
- Energy: -37.172 eV for the cell shown
- Energy above the most stable polymorph in this dataset: 0.092 eV per atom